# CrSnN2O

A relaxed CrSnN2O crystal (PBE+U, Alexandria).

Summary:
* total DFT energy (no corrections): -6.222 eV per atom
* space-group type: P4/mmm, No. 123
* N(E_F): 2.09 states/eV/cell

Cell: 3.746 3.746 4.054 Å, 90.00 90.00 90.00°
Fractional positions:
Cr: 0.000 0.000 0.000
Sn: 0.500 0.500 0.500
O: 0.000 0.000 0.500
N: 0.000 0.500 0.000
N: 0.500 0.000 0.000